(1)
An optimized crystal structure of AlFeRe2, computed with PBE-GGA.

POSCAR file:
```
AlFeRe2
1.0
-0.917 -1.205 2.271
3.339 -2.030 0.272
2.071 3.787 2.845
Re Al Fe
2 1 1
direct
0.000 0.000 0.993 Re
0.000 0.000 0.507 Re
0.500 0.500 0.250 Al
0.500 0.500 0.750 Fe
```

**Energy of formation from the pure elements**: 43 meV/atom
**Magnetization**: 0.23 μB per atom
**Electronic total energy**: -36.9 eV per formula unit

(2)
An optimized crystal structure of AlFeRe, computed with PBE-GGA.

POSCAR file:
```
AlFeRe
1.0
6.500 0.008 -0.006
5.783 2.565 0.006
0.717 -0.680 2.465
Fe Re Al
1 1 1
direct
0.336 0.336 0.664 Fe
0.670 0.670 0.330 Re
0.994 0.994 0.006 Al
```

**Energy of formation from the pure elements**: -32 meV/atom
**Magnetization**: 0.70 μB per atom
**Electronic total energy**: -24.7 eV per formula unit

(3)
An optimized crystal structure of AlFe2Re, computed with PBE-GGA.

POSCAR file:
```
AlFe2Re
1.0
3.976 0.000 0.000
1.988 3.443 0.000
1.988 1.148 4.069
Al Re Fe
1 1 2
direct
0.689 0.689 0.934 Al
0.476 0.476 0.572 Re
0.073 0.073 0.782 Fe
0.263 0.263 0.212 Fe
```

**Energy of formation from the pure elements**: 177 meV/atom
**Magnetization**: 0.49 μB per atom
**Electronic total energy**: -32.4 eV per formula unit

(4)
An optimized crystal structure of AlFeRe2, computed with PBE-GGA.

POSCAR file:
```
AlFeRe2
1.0
-0.382 -1.462 2.301
-3.154 -1.632 -1.561
2.982 -3.880 -1.970
Al Fe Re
1 1 2
direct
0.000 0.000 0.515 Al
0.500 0.500 0.735 Fe
0.000 0.000 0.008 Re
0.500 0.500 0.242 Re
```

**Energy of formation from the pure elements**: -3 meV/atom
**Magnetization**: 0.48 μB per atom
**Electronic total energy**: -37.1 eV per formula unit

(5)
An optimized crystal structure of AlFeRe2, computed with PBE-GGA.

POSCAR file:
```
AlFeRe2
1.0
-1.206 -4.767 -0.384
2.785 -2.673 -3.069
0.161 2.860 4.015
Re Fe Al
2 1 1
direct
0.751 0.251 0.500 Re
0.005 0.005 0.000 Re
0.252 0.752 0.500 Fe
0.492 0.492 0.000 Al
```

**Energy of formation from the pure elements**: -89 meV/atom
**Magnetization**: 0.45 μB per atom
**Electronic total energy**: -37.5 eV per formula unit

(6)
An optimized crystal structure of AlFeRe, computed with PBE-GGA.

POSCAR file:
```
AlFeRe
1.0
-1.198 -3.763 -3.536
1.412 -5.041 -0.836
-1.600 3.793 3.340
Re Al Fe
1 1 1
direct
0.676 0.676 0.000 Re
0.989 0.989 0.000 Al
0.335 0.335 0.000 Fe
```

**Energy of formation from the pure elements**: -222 meV/atom
**Magnetization**: 0.05 μB per atom
**Electronic total energy**: -25.3 eV per formula unit